Here is crystalline FeNiP2O8 at its relaxed geometry from Alexandria. Energies are from GGA+U.

Output
The energy above the most stable polymorph in this dataset is 10 meV per atom. The total energy is -6.630 eV per atom.

Lattice parameters (Å, degrees): 4.8607 5.8226 9.8984 90.00 90.28 90.00
Space group P2_1/m (No. 11)
Symmetry-distinct sites (fractional):
Fe (0.0575, 0.2500, 0.2736) x2
Ni (0.4363, 0.2500, 0.7772) x2
P (0.1068, 0.7500, 0.4033) x2
P (0.3844, 0.7500, 0.9093) x2
O (0.1602, 0.7500, 0.5566) x2
O (0.2074, 0.2500, 0.6159) x2
O (0.2323, 0.5435, 0.8372) x4
O (0.2507, 0.5414, 0.3329) x4
O (0.3074, 0.2500, 0.1184) x2
O (0.3262, 0.7500, 0.0609) x2

***

Here is crystalline Fe3Ni2SbP6O24 at its relaxed geometry from Alexandria. Energies are from GGA+U.

Output
The total energy is -6.810 eV per atom.

Lattice parameters (Å, degrees): 8.6348 8.6348 20.7674 90.00 90.00 120.00
Space group R3 (No. 146, hexagonal axes)
Symmetry-distinct sites (fractional):
Fe (0.0000, 0.0000, 0.0000) x3
Fe (0.0000, 0.0000, 0.2113) x3
Fe (0.0000, 0.0000, 0.4982) x3
Ni (0.0000, 0.0000, 0.3554) x3
Ni (0.0000, 0.0000, 0.8604) x3
Sb (0.0000, 0.0000, 0.7129) x3
P (0.0042, 0.7089, 0.1046) x9
P (0.0370, 0.3679, 0.2707) x9
O (0.0017, 0.2004, 0.6682) x9
O (0.0018, 0.8022, 0.1661) x9
O (0.0140, 0.1800, 0.2810) x9
O (0.0162, 0.8374, 0.7797) x9
O (0.1407, 0.6768, 0.7103) x9
O (0.1466, 0.4674, 0.2126) x9
O (0.1654, 0.6787, 0.0967) x9
O (0.1687, 0.4825, 0.5974) x9

***

Here is crystalline Ti3Fe2NiP6O24 at its relaxed geometry from Alexandria. Energies are from GGA+U.

Output
The total energy is -7.563 eV per atom.

Lattice parameters (Å, degrees): 8.6561 8.6561 20.7585 90.00 90.00 120.00
Space group R3 (No. 146, hexagonal axes)
Symmetry-distinct sites (fractional):
Ti (0.0000, 0.0000, 0.0000) x3
Ti (0.0000, 0.0000, 0.2131) x3
Ti (0.0000, 0.0000, 0.5033) x3
Fe (0.0000, 0.0000, 0.3564) x3
Fe (0.0000, 0.0000, 0.8555) x3
Ni (0.0000, 0.0000, 0.7168) x3
P (0.0006, 0.2930, 0.6101) x9
P (0.0021, 0.7080, 0.1075) x9
O (0.0092, 0.1794, 0.2780) x9
O (0.0233, 0.8268, 0.1664) x9
O (0.0256, 0.8316, 0.7851) x9
O (0.1324, 0.4639, 0.3378) x9
O (0.1459, 0.6690, 0.7133) x9
O (0.1481, 0.4777, 0.2154) x9
O (0.1702, 0.4814, 0.6003) x9
O (0.1709, 0.6886, 0.1001) x9

***

Here is crystalline Ti3FeNi2P6O24 at its relaxed geometry from Alexandria. Energies are from GGA+U.

Output
The total energy is -7.392 eV per atom.

Lattice parameters (Å, degrees): 8.6199 8.6199 20.6240 90.00 90.00 120.00
Space group R3 (No. 146, hexagonal axes)
Symmetry-distinct sites (fractional):
Ti (0.0000, 0.0000, 0.0000) x3
Ti (0.0000, 0.0000, 0.2122) x3
Ti (0.0000, 0.0000, 0.5031) x3
Fe (0.0000, 0.0000, 0.7179) x3
Ni (0.0000, 0.0000, 0.3559) x3
Ni (0.0000, 0.0000, 0.8556) x3
P (0.0009, 0.2957, 0.6095) x9
P (0.0026, 0.7060, 0.1071) x9
O (0.0010, 0.2046, 0.6709) x9
O (0.0065, 0.1761, 0.2787) x9
O (0.0243, 0.8319, 0.7864) x9
O (0.0272, 0.8278, 0.1659) x9
O (0.1455, 0.6712, 0.7127) x9
O (0.1476, 0.4755, 0.2147) x9
O (0.1711, 0.4846, 0.5984) x9
O (0.1712, 0.6856, 0.0982) x9

***

Here is crystalline V2Fe3NiP6O24 at its relaxed geometry from Alexandria. Energies are from GGA+U.

Output
The total energy is -7.098 eV per atom.

Lattice parameters (Å, degrees): 8.6569 8.6569 20.1607 90.00 90.00 120.00
Space group R3 (No. 146, hexagonal axes)
Symmetry-distinct sites (fractional):
V (0.0000, 0.0000, 0.0000) x3
V (0.0000, 0.0000, 0.4995) x3
Fe (0.0000, 0.0000, 0.3512) x3
Fe (0.0000, 0.0000, 0.6452) x3
Fe (0.0000, 0.0000, 0.8525) x3
Ni (0.0000, 0.0000, 0.1433) x3
P (0.0362, 0.3687, 0.9145) x9
P (0.0357, 0.6676, 0.4150) x9
O (0.0072, 0.1744, 0.9290) x9
O (0.0067, 0.8312, 0.4276) x9
O (0.0114, 0.2051, 0.3105) x9
O (0.0119, 0.8063, 0.8106) x9
O (0.1343, 0.4544, 0.8519) x9
O (0.1449, 0.6856, 0.3535) x9
O (0.1633, 0.4929, 0.2375) x9
O (0.1638, 0.6757, 0.7337) x9

***

Here is crystalline V3FeNi2P6O24 at its relaxed geometry from Alexandria. Energies are from GGA+U.

Output
The total energy is -7.143 eV per atom.

Lattice parameters (Å, degrees): 8.6041 8.6041 20.5583 90.00 90.00 120.00
Space group R3 (No. 146, hexagonal axes)
Symmetry-distinct sites (fractional):
V (0.0000, 0.0000, 0.0000) x3
V (0.0000, 0.0000, 0.2152) x3
V (0.0000, 0.0000, 0.7150) x3
Fe (0.0000, 0.0000, 0.5003) x3
Ni (0.0000, 0.0000, 0.3576) x3
Ni (0.0000, 0.0000, 0.8577) x3
P (0.9995, 0.2937, 0.6071) x9
P (0.0005, 0.7063, 0.1069) x9
O (0.0043, 0.1963, 0.6691) x9
O (0.0046, 0.8080, 0.1687) x9
O (0.0161, 0.1812, 0.2821) x9
O (0.0165, 0.8350, 0.7816) x9
O (0.1384, 0.4668, 0.2122) x9
O (0.1470, 0.6786, 0.7123) x9
O (0.1682, 0.4861, 0.6006) x9
O (0.1687, 0.6873, 0.0975) x9

***

Here is crystalline V3Fe2NiP6O24 at its relaxed geometry from Alexandria. Energies are from GGA+U.

Output
The total energy is -7.237 eV per atom.

Lattice parameters (Å, degrees): 8.6329 8.6329 20.6817 90.00 90.00 120.00
Space group R3 (No. 146, hexagonal axes)
Symmetry-distinct sites (fractional):
V (0.0000, 0.0000, 0.0000) x3
V (0.0000, 0.0000, 0.2153) x3
V (0.0000, 0.0000, 0.5026) x3
Fe (0.0000, 0.0000, 0.3578) x3
Fe (0.0000, 0.0000, 0.8560) x3
Ni (0.0000, 0.0000, 0.7173) x3
P (0.0013, 0.2926, 0.6099) x9
P (0.0017, 0.7094, 0.1093) x9
O (0.0002, 0.1912, 0.5473) x9
O (0.0015, 0.8120, 0.0481) x9
O (0.0115, 0.1800, 0.2787) x9
O (0.0197, 0.8221, 0.1697) x9
O (0.0254, 0.8319, 0.7855) x9
O (0.1322, 0.4648, 0.3379) x9
O (0.1697, 0.4836, 0.6012) x9
O (0.1715, 0.6889, 0.1024) x9

***

Here is crystalline VFe3Ni2P6O24 at its relaxed geometry from Alexandria. Energies are from GGA+U.

Output
The total energy is -6.946 eV per atom.

Lattice parameters (Å, degrees): 8.5989 8.5989 20.5835 90.00 90.00 120.00
Space group R3 (No. 146, hexagonal axes)
Symmetry-distinct sites (fractional):
V (0.0000, 0.0000, 0.0000) x3
Fe (0.0000, 0.0000, 0.2889) x3
Fe (0.0000, 0.0000, 0.5013) x3
Fe (0.0000, 0.0000, 0.7873) x3
Ni (0.0000, 0.0000, 0.1453) x3
Ni (0.0000, 0.0000, 0.6463) x3
P (0.0382, 0.6682, 0.5601) x9
P (0.0396, 0.3708, 0.0609) x9
O (0.0107, 0.1730, 0.0665) x9
O (0.0105, 0.8228, 0.9548) x9
O (0.0224, 0.8364, 0.5736) x9
O (0.1370, 0.4634, 0.1233) x9
O (0.1445, 0.4619, 0.9999) x9
O (0.1460, 0.6821, 0.5005) x9
O (0.1648, 0.4839, 0.3862) x9
O (0.1674, 0.6850, 0.8864) x9

***

Which formula does entry 1 have?
FeNiP2O8